# 1
{"formula": "LaMnCl2", "functional": "PBE-GGA", "state": "relaxed", "cell": [[-1.758, 2.401, 6.665], [1.758, -2.401, 6.665], [1.758, 2.401, -6.665]], "species": ["La", "Mn", "Cl", "Cl"], "frac_coords": [[0.000, 0.000, 0.000], [0.209, 0.709, 0.500], [0.516, 0.516, 0.000], [0.821, 0.321, 0.500]], "volume_a3_per_cell": 112.6, "spacegroup": "Imm2, No. 44"}

***

# 2
{"formula": "La2MnCl", "functional": "PBE-GGA", "state": "relaxed", "cell": [[2.139, -2.811, 0.000], [2.139, 2.811, 0.000], [0.000, 0.000, 8.180]], "species": ["La", "La", "Mn", "Cl"], "frac_coords": [[0.000, 0.000, 0.208], [0.000, 0.000, 0.792], [0.500, 0.500, 0.000], [0.500, 0.500, 0.500]], "volume_a3_per_cell": 98.4, "spacegroup": "Cmmm, No. 65"}

***

# 3
{"formula": "La2MnCl", "functional": "PBE-GGA", "state": "relaxed", "cell": [[0.000, 3.726, 3.726], [3.726, 0.000, 3.726], [3.726, 3.726, 0.000]], "species": ["La", "La", "Mn", "Cl"], "frac_coords": [[0.250, 0.250, 0.250], [0.750, 0.750, 0.750], [0.000, 0.000, 0.000], [0.500, 0.500, 0.500]], "volume_a3_per_cell": 103.5, "spacegroup": "Fm-3m, No. 225"}

***

Raw formation energy across the listed records, respectively: -846.2, -517.1, -223.7 meV/atom.
Magnetic moment across the listed records, respectively: 4.393, 0.014, 2.519 μB per formula unit.